Record 1
Compound: Re3NiBi
Source: Alexandria
Functional: SCAN
Structure: single point on PBEsol structure

a = 4.4907 Å, b = 4.4907 Å, c = 4.4907 Å
α = 90.00°, β = 90.00°, γ = 90.00°
Space group Pm-3m (No. 221)
Inequivalent atoms, fractional coordinates:
Re (0.0000, 0.0000, 0.5000) [3 per cell]
Ni (0.0000, 0.0000, 0.0000) [1 per cell]
Bi (0.5000, 0.5000, 0.5000) [1 per cell]

Computed properties:
Total energy = -298.75 eV per cell
E_form = 1859 meV per atom
Crystal system = cubic

=====

Record 2
Compound: PrAl3Ni2
Source: Alexandria
Functional: SCAN
Structure: single point on PBEsol structure

a = 5.3128 Å, b = 5.3128 Å, c = 3.9811 Å
α = 90.00°, β = 90.00°, γ = 120.00°
Space group P6/mmm (No. 191)
Inequivalent atoms, fractional coordinates:
Pr (0.0000, 0.0000, 0.0000) [1 per cell]
Al (0.0000, 0.5000, 0.5000) [3 per cell]
Ni (0.3333, 0.6667, 0.0000) [2 per cell]

Computed properties:
Total energy = -102.77 eV per cell
E_form = -640 meV per atom
Crystal system = hexagonal

=====

Record 3
Compound: KCdOs3
Source: Alexandria
Functional: SCAN
Structure: single point on PBEsol structure

a = 4.5475 Å, b = 4.5475 Å, c = 4.5475 Å
α = 90.00°, β = 90.00°, γ = 90.00°
Space group Pm-3m (No. 221)
Inequivalent atoms, fractional coordinates:
K (0.0000, 0.0000, 0.0000) [1 per cell]
Cd (0.5000, 0.5000, 0.5000) [1 per cell]
Os (0.0000, 0.0000, 0.5000) [3 per cell]

Computed properties:
Total energy = -234.94 eV per cell
E_form = 3888 meV per atom
Crystal system = cubic

=====

Record 4
Compound: ScTc2Ru
Source: Alexandria
Functional: SCAN
Structure: single point on PBEsol structure

a = 2.7483 Å, b = 4.3964 Å, c = 5.0088 Å
α = 90.00°, β = 102.36°, γ = 90.00°
Space group P2/m (No. 10)
Inequivalent atoms, fractional coordinates:
Sc (0.0000, 0.0000, 0.0000) [1 per cell]
Tc (0.2381, 0.5000, 0.7501) [2 per cell]
Ru (0.5000, 0.0000, 0.5000) [1 per cell]

Computed properties:
Total energy = -119.28 eV per cell
E_form = -25 meV per atom
Crystal system = monoclinic

=====

Record 5
Compound: LaMgCo2
Source: Alexandria
Functional: SCAN
Structure: single point on PBEsol structure

a = 3.0412 Å, b = 3.3853 Å, c = 6.4008 Å
α = 90.00°, β = 101.89°, γ = 90.00°
Space group P2/m (No. 10)
Inequivalent atoms, fractional coordinates:
La (0.0000, 0.0000, 0.0000) [1 per cell]
Mg (0.5000, 0.0000, 0.5000) [1 per cell]
Co (0.1006, 0.5000, 0.7063) [2 per cell]

Computed properties:
Total energy = -81.29 eV per cell
E_form = 350 meV per atom
Crystal system = monoclinic

=====

Record 6
Compound: YCr2Ag
Source: Alexandria
Functional: SCAN
Structure: single point on PBEsol structure

a = 6.5943 Å, b = 6.5943 Å, c = 6.5943 Å
α = 90.00°, β = 90.00°, γ = 90.00°
Space group F-43m (No. 216)
Inequivalent atoms, fractional coordinates:
Y (0.0000, 0.0000, 0.0000) [4 per cell]
Cr (0.0000, 0.0000, 0.5000) [4 per cell]
Cr (0.2500, 0.2500, 0.7500) [4 per cell]
Ag (0.2500, 0.2500, 0.2500) [4 per cell]

Computed properties:
Total energy = -383.70 eV per cell
E_form = 13 meV per atom
Crystal system = cubic

=====

Record 7
Compound: KMg2Mo
Source: Alexandria
Functional: SCAN
Structure: single point on PBEsol structure

a = 7.2915 Å, b = 7.2915 Å, c = 7.2915 Å
α = 90.00°, β = 90.00°, γ = 90.00°
Space group F-43m (No. 216)
Inequivalent atoms, fractional coordinates:
K (0.0000, 0.0000, 0.0000) [4 per cell]
Mg (0.0000, 0.0000, 0.5000) [4 per cell]
Mg (0.2500, 0.2500, 0.7500) [4 per cell]
Mo (0.2500, 0.2500, 0.2500) [4 per cell]

Computed properties:
Total energy = -196.92 eV per cell
E_form = 983 meV per atom
Crystal system = cubic

=====

Record 8
Compound: Mn2FeOs
Source: Alexandria
Functional: SCAN
Structure: single point on PBEsol structure

a = 3.5882 Å, b = 3.5882 Å, c = 7.1146 Å
α = 90.00°, β = 90.00°, γ = 90.00°
Space group I4/mmm (No. 139)
Inequivalent atoms, fractional coordinates:
Mn (0.0000, 0.5000, 0.2500) [4 per cell]
Fe (0.0000, 0.0000, 0.0000) [2 per cell]
Os (0.0000, 0.0000, 0.5000) [2 per cell]

Computed properties:
Total energy = -253.45 eV per cell
E_form = -51 meV per atom
Crystal system = tetragonal

=====

Record 9
Compound: SiTeIr2
Source: Alexandria
Functional: SCAN
Structure: single point on PBEsol structure

a = 2.9549 Å, b = 2.9549 Å, c = 7.6622 Å
α = 90.00°, β = 90.00°, γ = 90.00°
Space group P4mm (No. 99)
Inequivalent atoms, fractional coordinates:
Si (0.0000, 0.0000, 0.0000) [1 per cell]
Te (0.5000, 0.5000, 0.3370) [1 per cell]
Ir (0.0000, 0.0000, 0.5678) [1 per cell]
Ir (0.5000, 0.5000, 0.8283) [1 per cell]

Computed properties:
Total energy = -188.45 eV per cell
Crystal system = tetragonal
Energy relative to the elements, uncorrected = 0.253 eV per atom

=====

Record 10
Compound: Zr2FeIr
Source: Alexandria
Functional: SCAN
Structure: single point on PBEsol structure

a = 3.4159 Å, b = 4.2423 Å, c = 9.2228 Å
α = 90.00°, β = 90.00°, γ = 90.00°
Space group Imm2 (No. 44)
Inequivalent atoms, fractional coordinates:
Zr (0.0000, 0.0000, 0.0000) [2 per cell]
Zr (0.0000, 0.5000, 0.2381) [2 per cell]
Fe (0.0000, 0.5000, 0.7489) [2 per cell]
Ir (0.0000, 0.0000, 0.4920) [2 per cell]

Computed properties:
Total energy = -304.92 eV per cell
E_form = -459 meV per atom
Crystal system = orthorhombic

=====

Record 11
Compound: BeSb2Se
Source: Alexandria
Functional: SCAN
Structure: single point on PBEsol structure

a = 4.7239 Å, b = 4.7239 Å, c = 7.4263 Å
α = 90.00°, β = 90.00°, γ = 90.00°
Space group I4/mmm (No. 139)
Inequivalent atoms, fractional coordinates:
Be (0.0000, 0.0000, 0.0000) [2 per cell]
Sb (0.0000, 0.5000, 0.2500) [4 per cell]
Se (0.0000, 0.0000, 0.5000) [2 per cell]

Computed properties:
Total energy = -192.75 eV per cell
Crystal system = tetragonal
Energy relative to the elements, uncorrected = 0.644 eV per atom

=====

Record 12
Compound: Li2Mn3SbO8
Source: Alexandria
Functional: SCAN
Structure: single point on PBEsol structure

a = 5.9145 Å, b = 5.9145 Å, c = 9.6573 Å
α = 90.00°, β = 90.00°, γ = 120.00°
Space group P31c (No. 159)
Inequivalent atoms, fractional coordinates:
Li (0.0000, 0.0000, 0.0000) [2 per cell]
Li (0.3333, 0.6667, 0.0807) [2 per cell]
Mn (0.1606, 0.8222, 0.7733) [6 per cell]
Sb (0.3333, 0.6667, 0.5010) [2 per cell]
O (0.0000, 0.0000, 0.1910) [2 per cell]
O (0.0347, 0.4747, 0.6375) [6 per cell]
O (0.1394, 0.8062, 0.3937) [6 per cell]
O (0.3333, 0.6667, 0.8677) [2 per cell]

Computed properties:
Total energy = -352.12 eV per cell
Crystal system = trigonal
Energy relative to the elements, uncorrected = -2.100 eV per atom

=====

Record 13
Compound: LiTiNbMo2
Source: Alexandria
Functional: SCAN
Structure: single point on PBEsol structure

a = 4.4918 Å, b = 4.4918 Å, c = 3.7193 Å
α = 90.00°, β = 90.00°, γ = 90.00°
Space group P4/mmm (No. 123)
Inequivalent atoms, fractional coordinates:
Li (0.0000, 0.0000, 0.0000) [1 per cell]
Ti (0.0000, 0.0000, 0.5000) [1 per cell]
Nb (0.5000, 0.5000, 0.5000) [1 per cell]
Mo (0.0000, 0.5000, 0.0000) [2 per cell]

Computed properties:
Total energy = -116.32 eV per cell
E_form = 999 meV per atom
Crystal system = tetragonal

=====

Record 14
Compound: ScTiRe3
Source: Alexandria
Functional: SCAN
Structure: single point on PBEsol structure

a = 4.5225 Å, b = 4.5225 Å, c = 4.5225 Å
α = 90.00°, β = 90.00°, γ = 90.00°
Space group Pm-3m (No. 221)
Inequivalent atoms, fractional coordinates:
Sc (0.0000, 0.0000, 0.0000) [1 per cell]
Ti (0.5000, 0.5000, 0.5000) [1 per cell]
Re (0.0000, 0.5000, 0.5000) [3 per cell]

Computed properties:
Total energy = -236.88 eV per cell
E_form = 1337 meV per atom
Crystal system = cubic

=====

Record 15
Compound: Nb2GeBiAs
Source: Alexandria
Functional: SCAN
Structure: single point on PBEsol structure

a = 5.2249 Å, b = 5.2249 Å, c = 5.1698 Å
α = 90.00°, β = 90.00°, γ = 90.00°
Space group P4/mmm (No. 123)
Inequivalent atoms, fractional coordinates:
Nb (0.0000, 0.5000, 0.0000) [2 per cell]
Ge (0.0000, 0.0000, 0.5000) [1 per cell]
Bi (0.5000, 0.5000, 0.0000) [1 per cell]
As (0.5000, 0.5000, 0.5000) [1 per cell]

Computed properties:
Total energy = -174.81 eV per cell
E_form = 1862 meV per atom
Crystal system = tetragonal

=====

Record 16
Compound: LiBe2Pt
Source: Alexandria
Functional: SCAN
Structure: single point on PBEsol structure

a = 3.3610 Å, b = 3.3610 Å, c = 7.4489 Å
α = 90.00°, β = 90.00°, γ = 90.00°
Space group I-4m2 (No. 119)
Inequivalent atoms, fractional coordinates:
Li (0.0000, 0.0000, 0.0000) [2 per cell]
Be (0.0000, 0.0000, 0.5000) [2 per cell]
Be (0.0000, 0.5000, 0.7500) [2 per cell]
Pt (0.0000, 0.5000, 0.2500) [2 per cell]

Computed properties:
Total energy = -166.72 eV per cell
E_form = -518 meV per atom
Crystal system = tetragonal

=====

Record 17
Compound: Na2PIrN
Source: Alexandria
Functional: SCAN
Structure: single point on PBEsol structure

a = 4.6162 Å, b = 4.6162 Å, c = 3.7273 Å
α = 90.00°, β = 90.00°, γ = 90.00°
Space group P4/mmm (No. 123)
Inequivalent atoms, fractional coordinates:
Na (0.0000, 0.5000, 0.0000) [2 per cell]
P (0.0000, 0.0000, 0.5000) [1 per cell]
Ir (0.5000, 0.5000, 0.5000) [1 per cell]
N (0.5000, 0.5000, 0.0000) [1 per cell]

Computed properties:
Total energy = -98.74 eV per cell
Crystal system = tetragonal
Energy relative to the elements, uncorrected = 0.096 eV per atom

=====

Record 18
Compound: BaMg2As
Source: Alexandria
Functional: SCAN
Structure: single point on PBEsol structure

a = 3.3440 Å, b = 5.6903 Å, c = 11.5225 Å
α = 90.00°, β = 90.00°, γ = 90.00°
Space group Immm (No. 71)
Inequivalent atoms, fractional coordinates:
Ba (0.0000, 0.0000, 0.0000) [2 per cell]
Mg (0.0000, 0.5000, 0.2017) [4 per cell]
As (0.0000, 0.0000, 0.5000) [2 per cell]

Computed properties:
Total energy = -142.27 eV per cell
E_form = -362 meV per atom
Crystal system = orthorhombic

=====

Record 19
Compound: TaRhW2
Source: Alexandria
Functional: SCAN
Structure: single point on PBEsol structure

a = 2.7476 Å, b = 3.8590 Å, c = 5.9308 Å
α = 90.00°, β = 90.00°, γ = 90.00°
Space group Pmm2 (No. 25)
Inequivalent atoms, fractional coordinates:
Ta (0.0000, 0.0000, 0.0000) [1 per cell]
Rh (0.5000, 0.5000, 0.7582) [1 per cell]
W (0.0000, 0.0000, 0.5159) [1 per cell]
W (0.5000, 0.5000, 0.2684) [1 per cell]

Computed properties:
Total energy = -239.46 eV per cell
E_form = 68 meV per atom
Crystal system = orthorhombic

=====

Record 20
Compound: NaMnCr2Au
Source: Alexandria
Functional: SCAN
Structure: single point on PBEsol structure

a = 4.7144 Å, b = 4.7144 Å, c = 4.7776 Å
α = 90.00°, β = 90.00°, γ = 90.00°
Space group P4/mmm (No. 123)
Inequivalent atoms, fractional coordinates:
Na (0.0000, 0.0000, 0.0000) [1 per cell]
Mn (0.5000, 0.5000, 0.5000) [1 per cell]
Cr (0.0000, 0.5000, 0.0000) [2 per cell]
Au (0.0000, 0.0000, 0.5000) [1 per cell]

Computed properties:
Total energy = -122.00 eV per cell
E_form = 1280 meV per atom
Crystal system = tetragonal